Entry 1:
VASP calculation (PBE) on crystalline Cu5AsPd8 at its relaxed geometry.

Output
**N(E_F)**: 0.53 states/eV per atom
**Total energy**: -4.823 eV/atom
**Energy of formation from the pure elements**: -0.847 eV per formula unit
**M_tot**: 0.000 μB/cell

a b c (Å): 7.3413 7.3413 7.7857
angles (deg): 90.00 90.00 90.00
Space group I-4 (No. 82)
Asymmetric unit:
Cu  0.0000  0.0000  0.0000 x2
Cu  0.1131  0.7077  0.3272 x8
As  0.0000  0.5000  0.7500 x2
Pd  0.0683  0.8263  0.6570 x8
Pd  0.0903  0.6785  0.0004 x8

Entry 2:
VASP calculation (PBE) on crystalline Cu2GePd4 at its relaxed geometry.

Output
**N(E_F)**: 0.13 states/eV per atom
**Excess energy over the best structure of this formula in the dataset**: 22.5 meV per atom
**Total energy**: -5.010 eV/atom
**Energy of formation from the pure elements**: -1.488 eV per formula unit
**M_tot**: 0.000 μB/cell

a b c (Å): 6.0266 6.0266 5.8827
angles (deg): 90.00 90.00 90.00
Space group I4/mmm (No. 139)
Asymmetric unit:
Cu  0.0000  0.5000  0.0000 x4
Ge  0.0000  0.0000  0.0000 x2
Pd  0.2500  0.2500  0.2500 x8